Entry 1:
# Pr2CuBi (PBE, relaxed)
data_Pr2CuBi
_symmetry_space_group_name_H-M 'P 1'
_symmetry_Int_Tables_number 1
_symmetry_space_group_name_Hall 'P 1'
_cell_length_a 5.410
_cell_length_b 5.410
_cell_length_c 5.410
_cell_angle_alpha 60.00
_cell_angle_beta 60.00
_cell_angle_gamma 60.00
loop_
_atom_site_label
_atom_site_fract_x
_atom_site_fract_y
_atom_site_fract_z
Pr1 0.250 0.250 0.250
Pr2 0.750 0.750 0.750
Cu1 0.000 0.000 0.000
Bi1 0.500 0.500 0.500
# Uncorrected energy = -4.77 eV per atom
# Space group = Fm-3m, No. 225
# Spin magnetization = 0.00 Bohr magnetons per cell
# Offset from the most stable computed form = 0.011 eV/atom
# DFT formation energy = -1.54 eV/f.u.



Entry 2:
# Hf2ZrO (PBE, relaxed)
data_Hf2ZrO
_symmetry_space_group_name_H-M 'P 1'
_symmetry_Int_Tables_number 1
_symmetry_space_group_name_Hall 'P 1'
_cell_length_a 6.066
_cell_length_b 6.066
_cell_length_c 6.066
_cell_angle_alpha 115.44
_cell_angle_beta 115.44
_cell_angle_gamma 98.10
loop_
_atom_site_label
_atom_site_fract_x
_atom_site_fract_y
_atom_site_fract_z
Hf1 0.375 0.011 0.136
Hf2 0.761 0.625 0.636
Hf3 0.875 0.239 0.864
Hf4 0.989 0.125 0.364
Zr1 0.250 0.750 0.500
Zr2 0.500 0.500 0.000
O1 0.000 0.000 0.000
O2 0.750 0.250 0.500
# Uncorrected energy = -9.29 eV per atom
# Space group = I-42d, No. 122
# Spin magnetization = 0.00 Bohr magnetons per cell
# Formation energy (no corrections) = -0.9335 eV/atom



Entry 3:
# Ni2AsRu2 (PBE, relaxed)
data_Ni2AsRu2
_symmetry_space_group_name_H-M 'P 1'
_symmetry_Int_Tables_number 1
_symmetry_space_group_name_Hall 'P 1'
_cell_length_a 6.625
_cell_length_b 6.625
_cell_length_c 6.625
_cell_angle_alpha 149.66
_cell_angle_beta 149.66
_cell_angle_gamma 43.44
loop_
_atom_site_label
_atom_site_fract_x
_atom_site_fract_y
_atom_site_fract_z
Ni1 0.097 0.097 0.000
Ni2 0.903 0.903 0.000
As1 0.500 0.500 0.000
Ru1 0.250 0.750 0.500
Ru2 0.750 0.250 0.500
# Uncorrected energy = -6.47 eV per atom
# Space group = I4/mmm, No. 139
# Spin magnetization = 0.00 Bohr magnetons per cell
# Offset from the most stable computed form = 0.271 eV/atom
# DFT formation energy = 2.41 eV/f.u.



Entry 4:
# CoAgOsRu2 (PBE, relaxed)
data_CoAgOsRu2
_symmetry_space_group_name_H-M 'P 1'
_symmetry_Int_Tables_number 1
_symmetry_space_group_name_Hall 'P 1'
_cell_length_a 4.756
_cell_length_b 4.756
_cell_length_c 4.796
_cell_angle_alpha 90.00
_cell_angle_beta 90.00
_cell_angle_gamma 90.00
loop_
_atom_site_label
_atom_site_fract_x
_atom_site_fract_y
_atom_site_fract_z
Co1 0.000 0.000 0.000
Ag1 0.500 0.500 0.500
Os1 0.500 0.500 0.000
Ru1 0.000 0.500 0.500
Ru2 0.500 0.000 0.500
# Uncorrected energy = -5.03 eV per atom
# Space group = P4/mmm, No. 123
# Spin magnetization = 7.76 Bohr magnetons per cell
# DFT formation energy = 14.56 eV/f.u.



How do the records compare in calculated volume? In the order shown, they have 112, 167, 74, 108 Å³ per cell.